VASP calculation (PBEsol) on an optimized crystal structure of Li6Cu7.

Properties
total DFT energy (no corrections): -42.57 eV/cell
ΔE_f: -0.033 eV/atom
symmetry: R-3m, No. 166
spin magnetization: 0.00 μB per formula unit
crystal system: trigonal

Cell: 4.8372 4.8372 9.0337 Å, 74.47 74.47 60.00°
Fractional coordinates of all 13 atoms:
1 Cu 0.4102 0.9117 0.2679
2 Cu 0.4102 0.4102 0.2679
3 Cu 0.9117 0.4102 0.2679
4 Cu 0.5898 0.0883 0.7321
5 Cu 0.0883 0.5898 0.7321
6 Cu 0.5898 0.5898 0.7321
7 Cu 0.5000 0.5000 0.5000
8 Li 0.9479 0.9479 0.1562
9 Li 0.0521 0.0521 0.8438
10 Li 0.8464 0.8464 0.4606
11 Li 0.1536 0.1536 0.5394
12 Li 0.6675 0.6675 0.9976
13 Li 0.3325 0.3325 0.0024